[1]
Entry from Alexandria via LeMat-Bulk: crystalline TbPr3Tl3Te8 at its relaxed geometry (GGA-PBE).

## Properties
formation energy from raw total energies	-1062	meV per atom
crystal system	monoclinic
DFT total energy	-4.476	eV/atom
M_tot	0.000	μB per atom

Cell lengths 15.701, 9.070, 9.683 Å; angles 90.00, 122.69, 90.00 degrees
Space group C2/m (No. 12)
Unique sites:
Tb  0.000  0.000  0.000
Pr  0.000  0.500  0.000
Pr  0.250  0.250  0.000
Tl  0.000  0.000  0.500
Tl  0.250  0.250  0.500
Te  0.008  0.244  0.780
Te  0.236  0.000  0.220
Te  0.242  0.500  0.226

***

[2]
Entry from Alexandria via LeMat-Bulk: crystalline Ba3InAu at its relaxed geometry (GGA-PBE).

## Properties
energy of formation from the pure elements	-385	meV per atom
crystal system	monoclinic
DFT total energy	-2.742	eV/atom
M_tot	0.000	μB per atom

Cell lengths 15.444, 12.793, 8.888 Å; angles 90.00, 90.06, 90.00 degrees
Space group C2/c (No. 15)
Unique sites:
Ba  0.102  0.081  0.095
Ba  0.103  0.419  0.905
Ba  0.249  0.184  0.705
In  0.000  0.180  0.750
In  0.000  0.321  0.250
Au  0.250  0.054  0.376

***

The lowest DFT total energy belongs to which entry?
TbPr3Tl3Te8

***

What is the M_tot in the first record?
0.000 μB per atom